No. 1
# PBE NaNiPPd2, optimized geometry
data_NaNiPPd2
_chemical_formula_sum 'Na1 Ni1 P1 Pd2'
_cell_length_a 4.875
_cell_length_b 4.875
_cell_length_c 4.042
_cell_angle_alpha 90.00
_cell_angle_beta 90.00
_cell_angle_gamma 90.00
_space_group_name_H-M_alt 'P 4/m m m'
_space_group_IT_number 123
_space_group_name_Hall '-P 4 2'
loop_
_atom_site_label
_atom_site_type_symbol
_atom_site_fract_x
_atom_site_fract_y
_atom_site_fract_z
Na1 Na 0.000 0.000 0.000
Ni1 Ni 0.500 0.500 0.500
P1 P 0.500 0.500 0.000
Pd1 Pd 0.000 0.500 0.500
# Excess energy over the best structure of this formula in the dataset ... 443.5 meV per atom
# ΔH_f (0 K) ... 0.2064 eV/atom
# Crystal system ... tetragonal

---

No. 2
# PBE NaNiPPd2, optimized geometry
data_NaNiPPd2
_chemical_formula_sum 'Na1 Ni1 P1 Pd2'
_cell_length_a 4.590
_cell_length_b 4.590
_cell_length_c 4.216
_cell_angle_alpha 90.00
_cell_angle_beta 90.00
_cell_angle_gamma 90.00
_space_group_name_H-M_alt 'P 4/m m m'
_space_group_IT_number 123
_space_group_name_Hall '-P 4 2'
loop_
_atom_site_label
_atom_site_type_symbol
_atom_site_fract_x
_atom_site_fract_y
_atom_site_fract_z
Na1 Na 0.000 0.000 0.000
Ni1 Ni 0.500 0.500 0.000
P1 P 0.500 0.500 0.500
Pd1 Pd 0.000 0.500 0.500
# Excess energy over the best structure of this formula in the dataset ... 0.0 meV per atom
# ΔH_f (0 K) ... -0.2372 eV/atom
# Crystal system ... tetragonal

---

No. 3
# PBE Na2NiP2Rh, optimized geometry
data_Na2NiP2Rh
_chemical_formula_sum 'Na8 Ni4 P8 Rh4'
_cell_length_a 5.741
_cell_length_b 12.967
_cell_length_c 5.592
_cell_angle_alpha 90.00
_cell_angle_beta 90.00
_cell_angle_gamma 90.00
_space_group_name_H-M_alt 'I b a m'
_space_group_IT_number 72
_space_group_name_Hall '-I 2 2c'
loop_
_atom_site_label
_atom_site_type_symbol
_atom_site_fract_x
_atom_site_fract_y
_atom_site_fract_z
Na1 Na 0.249 0.176 0.000
Ni1 Ni 0.000 0.000 0.250
P1 P 0.235 0.091 0.500
Rh1 Rh 0.000 0.500 0.250
# ΔH_f (0 K) ... -0.5101 eV/atom
# Crystal system ... orthorhombic

---

No. 4
# PBE NaNiP2Ru, optimized geometry
data_NaNiP2Ru
_chemical_formula_sum 'Na2 Ni2 P4 Ru2'
_cell_length_a 3.891
_cell_length_b 3.891
_cell_length_c 9.794
_cell_angle_alpha 90.00
_cell_angle_beta 90.00
_cell_angle_gamma 90.00
_space_group_name_H-M_alt 'I -4 m 2'
_space_group_IT_number 119
_space_group_name_Hall 'I -4 -2'
loop_
_atom_site_label
_atom_site_type_symbol
_atom_site_fract_x
_atom_site_fract_y
_atom_site_fract_z
Na1 Na 0.000 0.000 0.000
Ni1 Ni 0.000 0.500 0.250
P1 P 0.000 0.000 0.378
Ru1 Ru 0.000 0.500 0.750
# ΔH_f (0 K) ... -0.5308 eV/atom
# Crystal system ... tetragonal

---

No. 5
# PBE NaNi4SbP2, optimized geometry
data_NaNi4SbP2
_chemical_formula_sum 'Na1 Ni4 Sb1 P2'
_cell_length_a 3.946
_cell_length_b 3.946
_cell_length_c 7.663
_cell_angle_alpha 90.00
_cell_angle_beta 90.00
_cell_angle_gamma 90.00
_space_group_name_H-M_alt 'P 4/m m m'
_space_group_IT_number 123
_space_group_name_Hall '-P 4 2'
loop_
_atom_site_label
_atom_site_type_symbol
_atom_site_fract_x
_atom_site_fract_y
_atom_site_fract_z
Na1 Na 0.000 0.000 0.000
Ni1 Ni 0.000 0.500 0.287
Sb1 Sb 0.000 0.000 0.500
P1 P 0.500 0.500 0.151
# ΔE_f (raw) ... -0.356 eV/atom
# Crystal system ... tetragonal

---

No. 6
# PBE NaScNi2P, optimized geometry
data_NaScNi2P
_chemical_formula_sum 'Na1 Sc1 Ni2 P1'
_cell_length_a 4.263
_cell_length_b 4.263
_cell_length_c 5.030
_cell_angle_alpha 90.00
_cell_angle_beta 90.00
_cell_angle_gamma 90.00
_space_group_name_H-M_alt 'P 4/m m m'
_space_group_IT_number 123
_space_group_name_Hall '-P 4 2'
loop_
_atom_site_label
_atom_site_type_symbol
_atom_site_fract_x
_atom_site_fract_y
_atom_site_fract_z
Na1 Na 0.000 0.000 0.000
Sc1 Sc 0.000 0.000 0.500
Ni1 Ni 0.000 0.500 0.000
P1 P 0.500 0.500 0.500
# ΔH_f (0 K) ... 1.2101 eV/atom
# Crystal system ... tetragonal